Computed, not measured: a geometry-optimized InAgNO2 structure at the PBE-GGA level of DFT.

Values from the calculation:
- Total DFT energy (no corrections): -4.2270 eV/atom
- Density: 5.77 g/cm³
- Uncorrected formation energy: 539.3 meV/atom
- M_tot: 3.0 μB per cell

Cell: 4.221 4.221 4.338 Å, 90.00 90.00 90.00°
Site moments in Bohr magnetons follow the coordinates.
Positions (direct):
N1 0.000 0.000 0.500  1.20
O1 0.500 0.000 0.000  0.52
O2 0.000 0.500 0.000  0.52
Ag1 0.500 0.500 0.500  0.11
In1 0.000 0.000 0.000  0.00

---

Computed, not measured: a geometry-optimized TaPO2 structure at the PBE-GGA level of DFT.

Values from the calculation:
- Total DFT energy (no corrections): -8.1191 eV/atom
- Density: 8.70 g/cm³
- Uncorrected formation energy: -1324.3 meV/atom
- M_tot: 0.0 μB per cell

Cell: 6.884 6.884 6.884 Å, 23.78 23.78 23.78°
Positions (direct):
Ta1 0.500 0.500 0.500
P1 0.000 0.000 0.000
O1 0.903 0.903 0.903
O2 0.097 0.097 0.097

---

What did the second record say?
Computed, not measured: a geometry-optimized TaPO2 structure at the PBE-GGA level of DFT.

Values from the calculation:
- Total DFT energy (no corrections): -8.1191 eV/atom
- Density: 8.70 g/cm³
- Uncorrected formation energy: -1324.3 meV/atom
- M_tot: 0.0 μB per cell

Cell: 6.884 6.884 6.884 Å, 23.78 23.78 23.78°
Positions (direct):
Ta1 0.500 0.500 0.500
P1 0.000 0.000 0.000
O1 0.903 0.903 0.903
O2 0.097 0.097 0.097